Record 1
# PBE RbNiAs2, relaxed
# Crystal system: tetragonal
# ΔH_f (0 K): -12.9 kJ/mol of formula units
# Total magnetic moment: 0.00 μB/cell
# Total DFT energy (no corrections): -4.0455 eV per atom
data_RbNiAs2
_chemical_formula_sum 'Rb1 Ni1 As2'
_symmetry_space_group_name_H-M 'P 4/m m m'
_symmetry_Int_Tables_number 123
_symmetry_space_group_name_Hall '-P 4 2'
_cell_length_a 3.4138
_cell_length_b 3.4138
_cell_length_c 7.4226
_cell_angle_alpha 90.00
_cell_angle_beta 90.00
_cell_angle_gamma 90.00
loop_
_atom_site_label
_atom_site_fract_x
_atom_site_fract_y
_atom_site_fract_z
_atom_site_occupancy
Rb1 0.0000 0.0000 0.0000 1
Ni1 0.0000 0.0000 0.5000 1
As1 0.5000 0.5000 0.3418 1

---

Record 2
# PBE RbNiAs2, relaxed
# Crystal system: trigonal
# ΔH_f (0 K): -32.1 kJ/mol of formula units
# Total magnetic moment: 0.00 μB/cell
# Total DFT energy (no corrections): -4.0952 eV per atom
data_RbNiAs2
_chemical_formula_sum 'Rb3 Ni3 As6'
_symmetry_space_group_name_H-M 'R -3 m'
_symmetry_Int_Tables_number 166
_symmetry_space_group_name_Hall '-R 3 2"'
_cell_length_a 3.8425
_cell_length_b 3.8425
_cell_length_c 25.6125
_cell_angle_alpha 90.00
_cell_angle_beta 90.00
_cell_angle_gamma 120.00
loop_
_atom_site_label
_atom_site_fract_x
_atom_site_fract_y
_atom_site_fract_z
_atom_site_occupancy
Rb1 0.0000 0.0000 0.0000 1
Ni1 0.0000 0.0000 0.5000 1
As1 0.0000 0.0000 0.1292 1

---

Record 3
# PBE RbNiAs2, relaxed
# Crystal system: cubic
# ΔH_f (0 K): 236.9 kJ/mol of formula units
# Total magnetic moment: 0.00 μB/cell
# Total DFT energy (no corrections): -3.3982 eV per atom
data_RbNiAs2
_chemical_formula_sum 'Rb4 Ni4 As8'
_symmetry_space_group_name_H-M 'F m -3 m'
_symmetry_Int_Tables_number 225
_symmetry_space_group_name_Hall '-F 4 2 3'
_cell_length_a 6.9593
_cell_length_b 6.9593
_cell_length_c 6.9593
_cell_angle_alpha 90.00
_cell_angle_beta 90.00
_cell_angle_gamma 90.00
loop_
_atom_site_label
_atom_site_fract_x
_atom_site_fract_y
_atom_site_fract_z
_atom_site_occupancy
Rb1 0.0000 0.0000 0.0000 1
Ni1 0.0000 0.0000 0.5000 1
As1 0.2500 0.2500 0.2500 1

---

Record 4
# PBE RbNi6As4, relaxed
# Crystal system: tetragonal
# ΔH_f (0 K): -294.0 kJ/mol of formula units
# Total magnetic moment: 0.00 μB/cell
# Total DFT energy (no corrections): -5.2092 eV per atom
data_RbNi6As4
_chemical_formula_sum 'Rb2 Ni12 As8'
_symmetry_space_group_name_H-M 'I 4/m m m'
_symmetry_Int_Tables_number 139
_symmetry_space_group_name_Hall '-I 4 2'
_cell_length_a 3.8620
_cell_length_b 3.8620
_cell_length_c 25.4229
_cell_angle_alpha 90.00
_cell_angle_beta 90.00
_cell_angle_gamma 90.00
loop_
_atom_site_label
_atom_site_fract_x
_atom_site_fract_y
_atom_site_fract_z
_atom_site_occupancy
Rb1 0.0000 0.0000 0.0000 1
Ni1 0.0000 0.5000 0.1415 1
Ni2 0.0000 0.5000 0.2500 1
As1 0.0000 0.0000 0.1956 1
As2 0.0000 0.0000 0.4118 1

---

Record 5
# PBE Rb2NiAs2, relaxed
# Crystal system: orthorhombic
# ΔH_f (0 K): -194.4 kJ/mol of formula units
# Total magnetic moment: 0.00 μB/cell
# Total DFT energy (no corrections): -3.8061 eV per atom
data_Rb2NiAs2
_chemical_formula_sum 'Rb8 Ni4 As8'
_symmetry_space_group_name_H-M 'C m c m'
_symmetry_Int_Tables_number 63
_symmetry_space_group_name_Hall '-C 2c 2'
_cell_length_a 6.9440
_cell_length_b 14.4421
_cell_length_c 5.9908
_cell_angle_alpha 90.00
_cell_angle_beta 90.00
_cell_angle_gamma 90.00
loop_
_atom_site_label
_atom_site_fract_x
_atom_site_fract_y
_atom_site_fract_z
_atom_site_occupancy
Rb1 0.0000 0.0906 0.2500 1
Rb2 0.0000 0.2914 0.7500 1
Ni1 0.0000 0.5000 0.0000 1
As1 0.1761 0.4046 0.2500 1

---

Record 6
# PBE Rb2NiAsS, relaxed
# Crystal system: tetragonal
# Total magnetic moment: 1.11 μB/cell
# Total DFT energy (no corrections): -2.8719 eV per atom
# Formation energy (no corrections): 41.2 kJ/mol of atoms
data_Rb2NiAsS
_chemical_formula_sum 'Rb2 Ni1 As1 S1'
_symmetry_space_group_name_H-M 'P 4/m m m'
_symmetry_Int_Tables_number 123
_symmetry_space_group_name_Hall '-P 4 2'
_cell_length_a 6.7852
_cell_length_b 6.7852
_cell_length_c 4.7096
_cell_angle_alpha 90.00
_cell_angle_beta 90.00
_cell_angle_gamma 90.00
loop_
_atom_site_label
_atom_site_fract_x
_atom_site_fract_y
_atom_site_fract_z
_atom_site_occupancy
Rb1 0.0000 0.5000 0.0000 1
Ni1 0.0000 0.0000 0.5000 1
As1 0.5000 0.5000 0.0000 1
S1 0.5000 0.5000 0.5000 1

---

Record 7
# PBE RbNiAs2S8, relaxed
# Crystal system: trigonal
# Total magnetic moment: 0.00 μB/cell
# Total DFT energy (no corrections): -4.1607 eV per atom
# Formation energy (no corrections): -6.9 kJ/mol of atoms
data_RbNiAs2S8
_chemical_formula_sum 'Rb3 Ni3 As6 S24'
_symmetry_space_group_name_H-M 'R -3'
_symmetry_Int_Tables_number 148
_symmetry_space_group_name_Hall '-R 3'
_cell_length_a 5.6000
_cell_length_b 5.6000
_cell_length_c 33.4135
_cell_angle_alpha 90.00
_cell_angle_beta 90.00
_cell_angle_gamma 120.00
loop_
_atom_site_label
_atom_site_fract_x
_atom_site_fract_y
_atom_site_fract_z
_atom_site_occupancy
Rb1 0.0000 0.0000 0.0000 1
Ni1 0.0000 0.0000 0.5000 1
As1 0.0000 0.0000 0.2322 1
S1 0.0000 0.0000 0.2957 1
S2 0.0141 0.3912 0.7910 1

---

Record 8
# PBE RbNi2SbAs, relaxed
# Crystal system: monoclinic
# Total magnetic moment: 0.00 μB/cell
# Total DFT energy (no corrections): -4.5291 eV per atom
# Formation energy (no corrections): -25.9 kJ/mol of atoms
data_RbNi2SbAs
_chemical_formula_sum 'Rb2 Ni4 Sb2 As2'
_symmetry_space_group_name_H-M 'P 1 21/m 1'
_symmetry_Int_Tables_number 11
_symmetry_space_group_name_Hall '-P 2yb'
_cell_length_a 7.6471
_cell_length_b 4.1624
_cell_length_c 8.2510
_cell_angle_alpha 90.00
_cell_angle_beta 101.93
_cell_angle_gamma 90.00
loop_
_atom_site_label
_atom_site_fract_x
_atom_site_fract_y
_atom_site_fract_z
_atom_site_occupancy
Rb1 0.0638 0.2500 0.2672 1
Ni1 0.4664 0.2500 0.1011 1
Ni2 0.4845 0.7500 0.3065 1
Sb1 0.3666 0.7500 0.5772 1
As1 0.3091 0.7500 0.0488 1

---

Record 9
# PBE RbNiAs2Se, relaxed
# Crystal system: tetragonal
# Total magnetic moment: 0.31 μB/cell
# Total DFT energy (no corrections): -3.8849 eV per atom
# Formation energy (no corrections): 2.1 kJ/mol of atoms
data_RbNiAs2Se
_chemical_formula_sum 'Rb1 Ni1 As2 Se1'
_symmetry_space_group_name_H-M 'P 4/m m m'
_symmetry_Int_Tables_number 123
_symmetry_space_group_name_Hall '-P 4 2'
_cell_length_a 4.6890
_cell_length_b 4.6890
_cell_length_c 5.4044
_cell_angle_alpha 90.00
_cell_angle_beta 90.00
_cell_angle_gamma 90.00
loop_
_atom_site_label
_atom_site_fract_x
_atom_site_fract_y
_atom_site_fract_z
_atom_site_occupancy
Rb1 0.0000 0.0000 0.0000 1
Ni1 0.5000 0.5000 0.5000 1
As1 0.0000 0.5000 0.5000 1
Se1 0.5000 0.5000 0.0000 1

---

Record 10
# PBE RbNi2AsSe, relaxed
# Crystal system: monoclinic
# Total magnetic moment: 0.00 μB/cell
# Total DFT energy (no corrections): -4.5292 eV per atom
# Formation energy (no corrections): -38.2 kJ/mol of atoms
data_RbNi2AsSe
_chemical_formula_sum 'Rb2 Ni4 As2 Se2'
_symmetry_space_group_name_H-M 'P 1 21/m 1'
_symmetry_Int_Tables_number 11
_symmetry_space_group_name_Hall '-P 2yb'
_cell_length_a 7.5542
_cell_length_b 3.9994
_cell_length_c 8.0955
_cell_angle_alpha 90.00
_cell_angle_beta 105.36
_cell_angle_gamma 90.00
loop_
_atom_site_label
_atom_site_fract_x
_atom_site_fract_y
_atom_site_fract_z
_atom_site_occupancy
Rb1 0.0581 0.2500 0.2601 1
Ni1 0.4851 0.7500 0.8645 1
Ni2 0.4967 0.2500 0.6256 1
As1 0.3450 0.7500 0.0855 1
Se1 0.3155 0.7500 0.5752 1

---

Record 11
# PBE RbNiAs2Se, relaxed
# Crystal system: tetragonal
# Total magnetic moment: 1.56 μB/cell
# Total DFT energy (no corrections): -1.9007 eV per atom
# Formation energy (no corrections): 193.5 kJ/mol of atoms
data_RbNiAs2Se
_chemical_formula_sum 'Rb1 Ni1 As2 Se1'
_symmetry_space_group_name_H-M 'P 4/m m m'
_symmetry_Int_Tables_number 123
_symmetry_space_group_name_Hall '-P 4 2'
_cell_length_a 5.5704
_cell_length_b 5.5704
_cell_length_c 5.7114
_cell_angle_alpha 90.00
_cell_angle_beta 90.00
_cell_angle_gamma 90.00
loop_
_atom_site_label
_atom_site_fract_x
_atom_site_fract_y
_atom_site_fract_z
_atom_site_occupancy
Rb1 0.0000 0.0000 0.0000 1
Ni1 0.5000 0.5000 0.5000 1
As1 0.0000 0.5000 0.0000 1
Se1 0.0000 0.0000 0.5000 1

---

Record 12
# PBE RbTaNi2As, relaxed
# Crystal system: tetragonal
# ΔH_f (0 K): 742.5 kJ/mol of formula units
# Total magnetic moment: 2.51 μB/cell
# Total DFT energy (no corrections): -4.2675 eV per atom
data_RbTaNi2As
_chemical_formula_sum 'Rb1 Ta1 Ni2 As1'
_symmetry_space_group_name_H-M 'P 4/m m m'
_symmetry_Int_Tables_number 123
_symmetry_space_group_name_Hall '-P 4 2'
_cell_length_a 4.4849
_cell_length_b 4.4849
_cell_length_c 5.6377
_cell_angle_alpha 90.00
_cell_angle_beta 90.00
_cell_angle_gamma 90.00
loop_
_atom_site_label
_atom_site_fract_x
_atom_site_fract_y
_atom_site_fract_z
_atom_site_occupancy
Rb1 0.0000 0.0000 0.0000 1
Ta1 0.5000 0.5000 0.0000 1
Ni1 0.0000 0.5000 0.5000 1
As1 0.0000 0.0000 0.5000 1

---

Record 13
# PBE ReNiAs2, relaxed
# Crystal system: tetragonal
# ΔH_f (0 K): 136.4 kJ/mol of formula units
# Total magnetic moment: 0.00 μB/cell
# Total DFT energy (no corrections): -6.5286 eV per atom
data_ReNiAs2
_chemical_formula_sum 'Re4 Ni4 As8'
_symmetry_space_group_name_H-M 'I -4 2 d'
_symmetry_Int_Tables_number 122
_symmetry_space_group_name_Hall 'I -4 2bw'
_cell_length_a 5.4510
_cell_length_b 5.4510
_cell_length_c 10.8657
_cell_angle_alpha 90.00
_cell_angle_beta 90.00
_cell_angle_gamma 90.00
loop_
_atom_site_label
_atom_site_fract_x
_atom_site_fract_y
_atom_site_fract_z
_atom_site_occupancy
Re1 0.0000 0.0000 0.0000 1
Ni1 0.0000 0.0000 0.5000 1
As1 0.2377 0.2500 0.6250 1